Entry from the Alexandria database: a relaxed structure of DyY2HoTm2 (GGA-PBE).

a = 6.9371 Å, b = 9.6357 Å, c = 5.5873 Å
α = 90.00°, β = 90.00°, γ = 90.00°
Element x y z (fractional)
Dy (0.0000, 0.0000, 0.0000)
Dy (0.5000, 0.5000, 0.5000)
Y (0.2502, 0.1665, 0.5000)
Y (0.2498, 0.6665, 0.0000)
Y (0.7502, 0.3335, 0.0000)
Y (0.7498, 0.8335, 0.5000)
Ho (0.0000, 0.5000, 0.5000)
Ho (0.5000, 0.0000, 0.0000)
Tm (0.2498, 0.3332, 0.0000)
Tm (0.2502, 0.8332, 0.5000)
Tm (0.7498, 0.1668, 0.5000)
Tm (0.7502, 0.6668, 0.0000)

- energy of formation (eV per atom) = 0.077
- crystal system = orthorhombic
- SG = Pnnm
- magnetic moment (μB/f.u.) = 0.00
- ρ (g cm⁻³) = 7.50


Entry from the Alexandria database: a relaxed structure of DyYHoTm (GGA-PBE).

a = 6.1163 Å, b = 6.1163 Å, c = 6.1163 Å
α = 131.82°, β = 131.82°, γ = 70.51°
Element x y z (fractional)
Dy (0.0000, 0.0000, 0.0000)
Y (0.2500, 0.7500, 0.5000)
Ho (0.7500, 0.2500, 0.5000)
Tm (0.5000, 0.5000, 0.0000)

- polymorph energy (0 for the lowest one) (eV/atom) = 0.000
- energy of formation (eV per atom) = 0.025
- crystal system = tetragonal
- SG = I-4m2
- magnetic moment (μB/f.u.) = 0.00
- ρ (g cm⁻³) = 7.81


Entry from the Alexandria database: a relaxed structure of DyY6Ho2Tm (GGA-PBE).

a = 8.7361 Å, b = 8.7361 Å, c = 9.6211 Å
α = 94.54°, β = 94.54°, γ = 117.53°
Element x y z (fractional)
Dy (0.0925, 0.9075, 0.7500)
Dy (0.9075, 0.0925, 0.2500)
Y (0.0025, 0.7927, 0.3808)
Y (0.0722, 0.5182, 0.1841)
Y (0.2073, 0.9975, 0.1192)
Y (0.2527, 0.6218, 0.5559)
Y (0.3782, 0.7473, 0.9441)
Y (0.4818, 0.9278, 0.3159)
Y (0.5182, 0.0722, 0.6841)
Y (0.6218, 0.2527, 0.0559)
Y (0.7473, 0.3782, 0.4441)
Y (0.7927, 0.0025, 0.8808)
Y (0.9278, 0.4818, 0.8159)
Y (0.9975, 0.2073, 0.6192)
Ho (0.2040, 0.3056, 0.9549)
Ho (0.3056, 0.2040, 0.4549)
Ho (0.6944, 0.7960, 0.5451)
Ho (0.7960, 0.6944, 0.0451)
Tm (0.4774, 0.5226, 0.2500)
Tm (0.5226, 0.4774, 0.7500)

- energy of formation (eV per atom) = 0.120
- crystal system = monoclinic
- SG = C2/c
- magnetic moment (μB/f.u.) = 0.00
- ρ (g cm⁻³) = 6.17